# 1
Zn2RuN (PBE, optimized geometry); total moment = 0.00 μB per atom; raw formation energy = 0.4138 eV/atom; crystal system = tetragonal; total DFT energy (no corrections) = -4.623 eV per atom; symmetry = No. 122
1.0
7.4751 0.0000 0.0000
0.0000 7.4751 0.0000
3.7375 3.7375 1.9551
N Zn Ru
2 4 2
Direct
0.2500 0.7500 0.5000
0.5000 0.5000 0.0000
0.8750 0.7722 0.7500
0.3750 0.4778 0.7500
0.2278 0.6250 0.2500
0.5222 0.1250 0.2500
0.7500 0.2500 0.5000
0.0000 0.0000 0.0000

---

# 2
ZnRu2N2 (PBE, optimized geometry); total moment = 0.00 μB per atom; raw formation energy = 0.6131 eV/atom; crystal system = tetragonal; energy relative to the lowest polymorph listed for this composition = 0 meV per atom; total DFT energy (no corrections) = -6.682 eV per atom; symmetry = No. 139
1.0
-0.8032 3.6998 0.1121
-3.0441 -0.5950 -2.1739
-4.3532 0.9166 2.5454
Zn N Ru
1 2 2
Direct
0.0000 0.0000 0.0000
0.3473 0.3473 0.3054
0.6527 0.6527 0.6946
0.7500 0.2500 0.5000
0.2500 0.7500 0.5000

---

# 3
ZnRu2N (PBE, optimized geometry); total moment = 0.00 μB per atom; raw formation energy = 0.3204 eV/atom; crystal system = trigonal; energy relative to the lowest polymorph listed for this composition = 34 meV per atom; total DFT energy (no corrections) = -6.717 eV per atom; symmetry = No. 166
1.0
2.8098 0.0000 0.0000
1.4049 2.4334 0.0000
1.4049 0.8111 7.1032
N Ru Zn
1 2 1
Direct
0.0000 0.0000 0.0000
0.7308 0.7308 0.8076
0.2692 0.2692 0.1924
0.5000 0.5000 0.5000

---

# 4
ZnRuN3 (PBE, optimized geometry); total moment = 0.00 μB per atom; raw formation energy = 2.2454 eV/atom; crystal system = cubic; total DFT energy (no corrections) = -4.860 eV per atom; symmetry = No. 221
1.0
3.7457 0.0000 0.0000
0.0000 3.7457 0.0000
0.0000 0.0000 3.7457
N Ru Zn
3 1 1
Direct
0.0000 0.0000 0.5000
0.5000 0.0000 0.0000
0.0000 0.5000 0.0000
0.5000 0.5000 0.5000
0.0000 0.0000 0.0000

---

# 5
ZnRu2N2 (PBE, optimized geometry); total moment = 0.00 μB per atom; raw formation energy = 0.8700 eV/atom; crystal system = tetragonal; energy relative to the lowest polymorph listed for this composition = 257 meV per atom; total DFT energy (no corrections) = -6.425 eV per atom; symmetry = No. 127
1.0
-6.2090 -1.1589 0.4445
1.1137 -6.2027 -0.6152
0.2348 -0.2249 2.6928
Zn Ru N
2 4 4
Direct
0.0000 0.0000 0.0000
0.5000 0.5000 0.0000
0.6795 0.8205 0.5000
0.1795 0.6795 0.5000
0.3205 0.1795 0.5000
0.8205 0.3205 0.5000
0.8502 0.6498 0.0000
0.6498 0.1498 0.0000
0.3502 0.8502 0.0000
0.1498 0.3502 0.0000

---

# 6
ZnRuN (PBE, optimized geometry); total moment = 0.00 μB per atom; raw formation energy = 0.2983 eV/atom; crystal system = trigonal; total DFT energy (no corrections) = -5.993 eV per atom; symmetry = No. 156
1.0
-4.0761 1.7528 0.5285
-1.0614 -1.7547 -2.3665
-0.0935 -1.1009 2.9300
N Ru Zn
1 1 1
Direct
0.9352 0.0000 0.0000
0.7579 0.6667 0.3333
0.3069 0.3333 0.6667

---

# 7
ZrRuN3 (PBE, optimized geometry); total moment = 0.00 μB per atom; raw formation energy = 0.3930 eV/atom; crystal system = cubic; total DFT energy (no corrections) = -8.167 eV per atom; symmetry = No. 221
1.0
3.8320 0.0000 0.0000
0.0000 3.8320 0.0000
0.0000 0.0000 3.8320
N Ru Zr
3 1 1
Direct
0.0000 0.0000 0.5000
0.0000 0.5000 0.0000
0.5000 0.0000 0.0000
0.0000 0.0000 0.0000
0.5000 0.5000 0.5000

---

# 8
ZrRu3N (PBE, optimized geometry); total moment = 1.30 μB per atom; raw formation energy = 2.8424 eV/atom; crystal system = cubic; energy relative to the lowest polymorph listed for this composition = 3060 meV per atom; total DFT energy (no corrections) = -6.098 eV per atom; symmetry = No. 221
1.0
4.8540 0.0000 0.0000
0.0000 4.8540 0.0000
0.0000 0.0000 4.8540
Ru N Zr
3 1 1
Direct
0.0000 0.0000 0.5000
0.0000 0.5000 0.0000
0.5000 0.0000 0.0000
0.5000 0.5000 0.5000
0.0000 0.0000 0.0000

---

# 9
ZrRu3N (PBE, optimized geometry); total moment = 0.00 μB per atom; raw formation energy = -0.2171 eV/atom; crystal system = cubic; energy relative to the lowest polymorph listed for this composition = 0 meV per atom; total DFT energy (no corrections) = -9.157 eV per atom; symmetry = No. 221
1.0
-0.6865 -0.8592 -3.9534
-0.6366 -3.9370 0.9662
-3.9953 0.7749 0.5253
Ru N Zr
3 1 1
Direct
0.5000 0.0000 0.0000
0.0000 0.0000 0.5000
0.0000 0.5000 0.0000
0.0000 0.0000 0.0000
0.5000 0.5000 0.5000

---

# 10
ZrRuN (PBE, optimized geometry); total moment = 0.00 μB per atom; raw formation energy = -0.6353 eV/atom; crystal system = monoclinic; energy relative to the lowest polymorph listed for this composition = 176 meV per atom; total DFT energy (no corrections) = -9.352 eV per atom; symmetry = No. 12
1.0
-2.5941 -4.2731 1.5665
1.5120 -1.6685 -2.0476
8.9917 0.7145 6.0576
Ru Zr N
4 4 4
Direct
0.1545 0.0000 0.3380
0.1545 0.5000 0.8380
0.8455 0.5000 0.1620
0.8455 0.0000 0.6620
0.6916 0.0000 0.9035
0.6916 0.5000 0.4035
0.3084 0.5000 0.5965
0.3084 0.0000 0.0965
0.0000 0.5000 0.0000
0.5000 0.0000 0.5000
0.5000 0.5000 0.0000
0.0000 0.0000 0.5000

---

# 11
ZrRuN (PBE, optimized geometry); total moment = 0.00 μB per atom; raw formation energy = -0.5601 eV/atom; crystal system = monoclinic; energy relative to the lowest polymorph listed for this composition = 252 meV per atom; total DFT energy (no corrections) = -9.277 eV per atom; symmetry = No. 6
1.0
-0.4758 -2.6074 3.5969
3.0460 -0.6114 -0.0403
1.0908 5.2329 3.0552
Zr Ru N
2 2 2
Direct
0.0444 0.0000 0.7172
0.5837 0.0000 0.3223
0.0765 0.5000 0.1457
0.5435 0.5000 0.8928
0.7109 0.5000 0.5987
0.0893 0.0000 0.3621

---

# 12
ZrRuN (PBE, optimized geometry); total moment = 0.00 μB per atom; raw formation energy = -0.6056 eV/atom; crystal system = monoclinic; energy relative to the lowest polymorph listed for this composition = 206 meV per atom; total DFT energy (no corrections) = -9.322 eV per atom; symmetry = No. 12
1.0
-3.5381 -1.7686 2.0297
0.9695 -3.4130 -1.2839
9.1262 0.0957 6.6373
N Ru Zr
4 4 4
Direct
0.3385 0.0000 0.0923
0.3385 0.5000 0.5923
0.6615 0.5000 0.4077
0.6615 0.0000 0.9077
0.3999 0.5000 0.1568
0.6001 0.0000 0.3432
0.3999 0.0000 0.6568
0.6001 0.5000 0.8432
0.8598 0.0000 0.1132
0.8598 0.5000 0.6132
0.1402 0.0000 0.8868
0.1402 0.5000 0.3868